1.
The following is a DFT calculation (GGA-PBE) of CrTe2ICl after structural relaxation.

It has space group P4/mmm (No. 123), with a = 5.0525 Å, b = 5.0525 Å, c = 5.4169 Å, α = 90.00°, β = 90.00° and γ = 90.00°. Symmetry generates all atoms from Cr at (0.0000, 0.0000, 0.0000), Te at (0.0000, 0.5000, 0.0000), I at (0.0000, 0.0000, 0.5000) and Cl at (0.5000, 0.5000, 0.5000).

The calculation puts the energy above the lowest structure with this stoichiometry at 0 kJ/mol of formula units.

2.
The following is a DFT calculation (GGA-PBE) of CrTe2ICl after structural relaxation.

It has space group P4/mmm (No. 123), with a = 5.4920 Å, b = 5.4920 Å, c = 5.5438 Å, α = 90.00°, β = 90.00° and γ = 90.00°. Symmetry generates all atoms from Cr at (0.0000, 0.0000, 0.0000), Te at (0.0000, 0.5000, 0.5000), I at (0.5000, 0.5000, 0.0000) and Cl at (0.5000, 0.5000, 0.5000).

The calculation puts the energy above the lowest structure with this stoichiometry at 306 kJ/mol of formula units.

3.
The following is a DFT calculation (GGA-PBE) of CrTeI2Cl after structural relaxation.

It has space group P4/mmm (No. 123), with a = 5.4245 Å, b = 5.4245 Å, c = 5.2527 Å, α = 90.00°, β = 90.00° and γ = 90.00°. Symmetry generates all atoms from Cr at (0.0000, 0.0000, 0.0000), Te at (0.0000, 0.0000, 0.5000), I at (0.0000, 0.5000, 0.0000) and Cl at (0.5000, 0.5000, 0.5000).

The calculation puts the energy above the lowest structure with this stoichiometry at 0 kJ/mol of formula units.

4.
The following is a DFT calculation (GGA-PBE) of Cr2TeICl after structural relaxation.

It has space group P4/mmm (No. 123), with a = 4.7546 Å, b = 4.7546 Å, c = 6.7905 Å, α = 90.00°, β = 90.00° and γ = 90.00°. Symmetry generates all atoms from Cr at (0.0000, 0.5000, 0.0000), Te at (0.0000, 0.0000, 0.5000), I at (0.5000, 0.5000, 0.5000) and Cl at (0.5000, 0.5000, 0.0000).

5.
The following is a DFT calculation (GGA-PBE) of TlCrICl2 after structural relaxation.

It has space group P4/mmm (No. 123), with a = 4.9586 Å, b = 4.9586 Å, c = 5.7976 Å, α = 90.00°, β = 90.00° and γ = 90.00°. Symmetry generates all atoms from Tl at (0.0000, 0.0000, 0.0000), Cr at (0.5000, 0.5000, 0.5000), I at (0.5000, 0.5000, 0.0000) and Cl at (0.0000, 0.5000, 0.5000).

6.
The following is a DFT calculation (GGA-PBE) of VCr2ICl after structural relaxation.

It has space group P4/mmm (No. 123), with a = 4.9926 Å, b = 4.9926 Å, c = 4.9740 Å, α = 90.00°, β = 90.00° and γ = 90.00°. Symmetry generates all atoms from V at (0.0000, 0.0000, 0.0000), Cr at (0.0000, 0.5000, 0.0000), I at (0.0000, 0.0000, 0.5000) and Cl at (0.5000, 0.5000, 0.5000).

7.
The following is a DFT calculation (GGA-PBE) of Cr2InCl after structural relaxation.

It has space group C2/m (No. 12), with a = 9.1771 Å, b = 3.1543 Å, c = 7.8952 Å, α = 90.00°, β = 123.95° and γ = 90.00°. Symmetry generates all atoms from Cr at (0.1295, 0.0000, 0.3071), In at (0.0000, 0.5000, 0.5000) and Cl at (0.0000, 0.5000, 0.0000).

The calculation puts the energy above the lowest structure with this stoichiometry at 81 kJ/mol of formula units.

8.
The following is a DFT calculation (GGA-PBE) of Cr2InCl after structural relaxation.

It has space group Pmmm (No. 47), with a = 3.2404 Å, b = 4.4456 Å, c = 5.8258 Å, α = 90.00°, β = 90.00° and γ = 90.00°. Symmetry generates all atoms from Cr at (0.0000, 0.0000, 0.0000), Cr at (0.5000, 0.0000, 0.5000), In at (0.0000, 0.5000, 0.5000) and Cl at (0.5000, 0.5000, 0.0000).

The calculation puts the energy above the lowest structure with this stoichiometry at 164 kJ/mol of formula units.

9.
The following is a DFT calculation (GGA-PBE) of CrIn2Cl after structural relaxation.

It has space group Pmmm (No. 47), with a = 3.2990 Å, b = 5.2023 Å, c = 5.4530 Å, α = 90.00°, β = 90.00° and γ = 90.00°. Symmetry generates all atoms from Cr at (0.0000, 0.0000, 0.0000), In at (0.0000, 0.5000, 0.5000), In at (0.5000, 0.0000, 0.5000) and Cl at (0.5000, 0.5000, 0.0000).

The calculation puts the energy above the lowest structure with this stoichiometry at 103 kJ/mol of formula units.

10.
The following is a DFT calculation (GGA-PBE) of Cr2In2Cl after structural relaxation.

It has space group I4/mmm (No. 139), with a = 3.3181 Å, b = 3.3181 Å, c = 17.8078 Å, α = 90.00°, β = 90.00° and γ = 90.00°. Symmetry generates all atoms from Cr at (0.0000, 0.5000, 0.2500), In at (0.0000, 0.0000, 0.1207) and Cl at (0.0000, 0.0000, 0.5000).

The calculation puts the energy above the lowest structure with this stoichiometry at 0 kJ/mol of formula units.

11.
The following is a DFT calculation (GGA-PBE) of CrIn2Cl after structural relaxation.

It has space group Immm (No. 71), with a = 3.0859 Å, b = 4.2568 Å, c = 14.6766 Å, α = 90.00°, β = 90.00° and γ = 90.00°. Symmetry generates all atoms from Cr at (0.0000, 0.0000, 0.0000), In at (0.0000, 0.5000, 0.3160) and Cl at (0.0000, 0.0000, 0.5000).

The calculation puts the energy above the lowest structure with this stoichiometry at 51 kJ/mol of formula units.

12.
The following is a DFT calculation (GGA-PBE) of CrIn2Cl6 after structural relaxation.

It has space group P-31m (No. 162), with a = 6.7516 Å, b = 6.7516 Å, c = 6.0052 Å, α = 90.00°, β = 90.00° and γ = 120.00°. Symmetry generates all atoms from Cr at (0.0000, 0.0000, 0.0000), In at (0.3333, 0.6667, 0.5000) and Cl at (0.0000, 0.2909, 0.2258).

In order of appearance, raw formation energy = 282.8 916.7 161.1 630.1 -772.5 901.4 288.2 504.6 167.3 392.1 33.5 -877.1 meV/atom.